Compound: K2TlW
Source: the Alexandria database
Functional: GGA-PBE
Structure: optimized geometry

CIF file:
```
data_K2TlW
_cell_length_a 2.9962
_cell_length_b 2.9962
_cell_length_c 12.3261
_cell_angle_alpha 90.00
_cell_angle_beta 90.00
_cell_angle_gamma 90.00
_symmetry_space_group_name_H-M 'P 1'
_symmetry_Int_Tables_number 1
_symmetry_space_group_name_Hall 'P 1'
loop_
_atom_site_label
_atom_site_fract_x
_atom_site_fract_y
_atom_site_fract_z
W1 0.5000 0.5000 0.7500
Tl1 0.5000 0.5000 0.2500
K1 0.0000 0.0000 0.9839
K2 0.0000 0.0000 0.5161
```

Calculated values
SG = P4/mmm
Energy relative to the lowest polymorph listed for this composition = 150 meV per atom
Crystal system = tetragonal

Compound: HfTl3Te
Source: the Alexandria database
Functional: GGA-PBE
Structure: optimized geometry

CIF file:
```
data_HfTl3Te
_cell_length_a 5.9114
_cell_length_b 5.9114
_cell_length_c 5.9114
_cell_angle_alpha 90.00
_cell_angle_beta 90.00
_cell_angle_gamma 90.00
_symmetry_space_group_name_H-M 'P 1'
_symmetry_Int_Tables_number 1
_symmetry_space_group_name_Hall 'P 1'
loop_
_atom_site_label
_atom_site_fract_x
_atom_site_fract_y
_atom_site_fract_z
Tl1 0.5000 0.0000 0.0000
Tl2 0.0000 0.0000 0.5000
Tl3 0.0000 0.5000 0.0000
Hf1 0.5000 0.5000 0.5000
Te1 0.0000 0.0000 0.0000
```

Calculated values
Energy relative to the elements, uncorrected = 1.13 eV/atom
SG = Pm-3m
Energy relative to the lowest polymorph listed for this composition = 554 meV per atom
Crystal system = cubic

Compound: ReAsIr2
Source: the Alexandria database
Functional: GGA-PBE
Structure: optimized geometry

CIF file:
```
data_ReAsIr2
_cell_length_a 2.8144
_cell_length_b 3.7116
_cell_length_c 5.8445
_cell_angle_alpha 90.00
_cell_angle_beta 90.00
_cell_angle_gamma 90.00
_symmetry_space_group_name_H-M 'P 1'
_symmetry_Int_Tables_number 1
_symmetry_space_group_name_Hall 'P 1'
loop_
_atom_site_label
_atom_site_fract_x
_atom_site_fract_y
_atom_site_fract_z
Ir1 0.5000 0.5000 0.2623
Ir2 0.0000 0.0000 0.9875
As1 0.5000 0.5000 0.7786
Re1 0.0000 0.0000 0.4715
```

Calculated values
SG = Pmm2
Crystal system = orthorhombic
Total energy = -8.4423 eV per atom

Compound: PrScAs2Rh5
Source: the Alexandria database
Functional: GGA-PBE
Structure: optimized geometry

CIF file:
```
data_PrScAs2Rh5
_cell_length_a 4.0895
_cell_length_b 4.0895
_cell_length_c 10.7990
_cell_angle_alpha 90.00
_cell_angle_beta 90.00
_cell_angle_gamma 90.00
_symmetry_space_group_name_H-M 'P 1'
_symmetry_Int_Tables_number 1
_symmetry_space_group_name_Hall 'P 1'
loop_
_atom_site_label
_atom_site_fract_x
_atom_site_fract_y
_atom_site_fract_z
Sc1 0.0000 0.0000 0.0000
Rh1 0.0000 0.5000 0.8343
Rh2 0.5000 0.5000 0.5000
Rh3 0.5000 0.0000 0.1657
Rh4 0.5000 0.0000 0.8343
Rh5 0.0000 0.5000 0.1657
Pr1 0.0000 0.0000 0.5000
As1 0.5000 0.5000 0.2791
As2 0.5000 0.5000 0.7209
```

Calculated values
SG = P4/mmm
Crystal system = tetragonal
Total energy = -6.8968 eV per atom

Which formula does entry 4 have? PrScAs2Rh5